Entry 1
An optimized crystal structure of BeW3. Source: the Alexandria database, functional PBEsol.

Geometry as CIF:
```
data_BeW3
_space_group_name_H-M_alt 'C 1 2/m 1'
_space_group_IT_number 12
_space_group_name_Hall '-C 2y'
_cell_length_a 9.483
_cell_length_b 3.166
_cell_length_c 4.289
_cell_angle_alpha 90.00
_cell_angle_beta 116.69
_cell_angle_gamma 90.00
loop_
_atom_site_label
_atom_site_fract_x
_atom_site_fract_y
_atom_site_fract_z
_atom_site_occupancy
Be1 0.000 0.000 0.000 1
W1 0.000 0.500 0.500 1
W2 0.248 0.000 0.748 1
```

Summary:
The calculation puts the density of states at the Fermi level at 1.907 states/eV/f.u.

Entry 2
An optimized crystal structure of BeW3. Source: the Alexandria database, functional PBEsol.

Geometry as CIF:
```
data_BeW3
_space_group_name_H-M_alt 'P m -3 m'
_space_group_IT_number 221
_space_group_name_Hall '-P 4 2 3'
_cell_length_a 3.850
_cell_length_b 3.850
_cell_length_c 3.850
_cell_angle_alpha 90.00
_cell_angle_beta 90.00
_cell_angle_gamma 90.00
loop_
_atom_site_label
_atom_site_fract_x
_atom_site_fract_y
_atom_site_fract_z
_atom_site_occupancy
Be1 0.000 0.000 0.000 1
W1 0.000 0.500 0.500 1
```

Summary:
The calculation puts the density of states at the Fermi level at 1.612 states/eV/f.u.

On energetic grounds, entry 1 is preferred over the next structure by 0.029 eV/atom.

Entry 1
An optimized crystal structure of Be3W. Source: the Alexandria database, functional PBEsol.

Geometry as CIF:
```
data_Be3W
_space_group_name_H-M_alt 'F m -3 m'
_space_group_IT_number 225
_space_group_name_Hall '-F 4 2 3'
_cell_length_a 5.458
_cell_length_b 5.458
_cell_length_c 5.458
_cell_angle_alpha 90.00
_cell_angle_beta 90.00
_cell_angle_gamma 90.00
loop_
_atom_site_label
_atom_site_fract_x
_atom_site_fract_y
_atom_site_fract_z
_atom_site_occupancy
Be1 0.000 0.000 0.000 1
Be2 0.250 0.250 0.250 1
W1 0.000 0.000 0.500 1
```

Summary:
The calculation puts the density of states at the Fermi level at 3.253 states/eV/f.u.

Entry 2
An optimized crystal structure of Be3W. Source: the Alexandria database, functional PBEsol.

Geometry as CIF:
```
data_Be3W
_space_group_name_H-M_alt 'P m -3 n'
_space_group_IT_number 223
_space_group_name_Hall '-P 4n 2 3'
_cell_length_a 4.364
_cell_length_b 4.364
_cell_length_c 4.364
_cell_angle_alpha 90.00
_cell_angle_beta 90.00
_cell_angle_gamma 90.00
loop_
_atom_site_label
_atom_site_fract_x
_atom_site_fract_y
_atom_site_fract_z
_atom_site_occupancy
Be1 0.000 0.250 0.500 1
W1 0.000 0.000 0.000 1
```

Summary:
The calculation puts the density of states at the Fermi level at 0.626 states/eV/f.u.

On energetic grounds, entry 1 is preferred over the next structure by 0.093 eV/atom.

Entry 1
An optimized crystal structure of YBe. Source: the Alexandria database, functional PBEsol.

Geometry as CIF:
```
data_YBe
_space_group_name_H-M_alt 'P 63/m m c'
_space_group_IT_number 194
_space_group_name_Hall '-P 6c 2c'
_cell_length_a 4.6855
_cell_length_b 4.6855
_cell_length_c 4.0226
_cell_angle_alpha 90.00
_cell_angle_beta 90.00
_cell_angle_gamma 120.00
loop_
_atom_site_label
_atom_site_fract_x
_atom_site_fract_y
_atom_site_fract_z
_atom_site_occupancy
Y1 0.3333 0.6667 0.2500 1
Be1 0.0000 0.0000 0.2500 1
```

Summary:
The calculation puts the density of states at the Fermi level at 1.060 states/eV/f.u.

Entry 2
An optimized crystal structure of YBe. Source: the Alexandria database, functional PBEsol.

Geometry as CIF:
```
data_YBe
_space_group_name_H-M_alt 'P 4/n m m'
_space_group_IT_number 129
_cell_length_a 3.089
_cell_length_b 3.089
_cell_length_c 7.914
_cell_angle_alpha 90.00
_cell_angle_beta 90.00
_cell_angle_gamma 90.00
loop_
_space_group_symop_operation_xyz
'x,y,z'
'-x,-y,-z'
'-y+1/2,x,z'
'y+1/2,-x,-z'
'-x+1/2,-y+1/2,z'
'x+1/2,y+1/2,-z'
'y,-x+1/2,z'
'-y,x+1/2,-z'
'x+1/2,-y,-z'
'-x+1/2,y,z'
'-y,-x,-z'
'y,x,z'
'-x,y+1/2,-z'
'x,-y+1/2,z'
'y+1/2,x+1/2,-z'
'-y+1/2,-x+1/2,z'
loop_
_atom_site_label
_atom_site_fract_x
_atom_site_fract_y
_atom_site_fract_z
_atom_site_occupancy
Y1 0.250 0.250 0.181 1
Be1 0.250 0.250 0.557 1
```

Summary:
The calculation puts the density of states at the Fermi level at 1.935 states/eV/f.u.

Entry 3
An optimized crystal structure of YBe. Source: the Alexandria database, functional PBEsol.

Geometry as CIF:
```
data_YBe
_space_group_name_H-M_alt 'P 63/m m c'
_space_group_IT_number 194
_space_group_name_Hall '-P 6c 2c'
_cell_length_a 3.5255
_cell_length_b 3.5255
_cell_length_c 8.1596
_cell_angle_alpha 90.00
_cell_angle_beta 90.00
_cell_angle_gamma 120.00
loop_
_atom_site_label
_atom_site_fract_x
_atom_site_fract_y
_atom_site_fract_z
_atom_site_occupancy
Y1 0.0000 0.0000 0.0000 1
Be1 0.3333 0.6667 0.2500 1
```

Summary:
The calculation puts the density of states at the Fermi level at 2.484 states/eV/f.u.

On energetic grounds, entry 1 is preferred over the next structure by 0.269 eV/atom.

Entry 1
An optimized crystal structure of Y5Be. Source: the Alexandria database, functional PBEsol.

Geometry as CIF:
```
data_Y5Be
_space_group_name_H-M_alt 'C 1 2/m 1'
_space_group_IT_number 12
_space_group_name_Hall '-C 2y'
_cell_length_a 11.943
_cell_length_b 3.543
_cell_length_c 8.332
_cell_angle_alpha 90.00
_cell_angle_beta 112.71
_cell_angle_gamma 90.00
loop_
_atom_site_label
_atom_site_fract_x
_atom_site_fract_y
_atom_site_fract_z
_atom_site_occupancy
Y1 0.000 0.000 0.000 1
Y2 0.134 0.500 0.366 1
Y3 0.165 0.500 0.786 1
Be1 0.000 0.000 0.500 1
```

Summary:
The calculation puts the density of states at the Fermi level at 7.410 states/eV/f.u.

Entry 2
An optimized crystal structure of Y5Be. Source: the Alexandria database, functional PBEsol.

Geometry as CIF:
```
data_Y5Be
_space_group_name_H-M_alt 'P 4/m m m'
_space_group_IT_number 123
_space_group_name_Hall '-P 4 2'
_cell_length_a 3.459
_cell_length_b 3.459
_cell_length_c 13.492
_cell_angle_alpha 90.00
_cell_angle_beta 90.00
_cell_angle_gamma 90.00
loop_
_atom_site_label
_atom_site_fract_x
_atom_site_fract_y
_atom_site_fract_z
_atom_site_occupancy
Y1 0.000 0.000 0.000 1
Y2 0.000 0.000 0.380 1
Y3 0.500 0.500 0.185 1
Be1 0.500 0.500 0.500 1
```

Summary:
The calculation puts the density of states at the Fermi level at 6.582 states/eV/f.u.

On energetic grounds, entry 2 is preferred over the next structure by 0.012 eV/atom.

Entry 1
An optimized crystal structure of Be2Zn. Source: the Alexandria database, functional PBEsol.

Geometry as CIF:
```
data_Be2Zn
_space_group_name_H-M_alt 'P 63/m m c'
_space_group_IT_number 194
_space_group_name_Hall '-P 6c 2c'
_cell_length_a 4.3455
_cell_length_b 4.3455
_cell_length_c 14.2411
_cell_angle_alpha 90.00
_cell_angle_beta 90.00
_cell_angle_gamma 120.00
loop_
_atom_site_label
_atom_site_fract_x
_atom_site_fract_y
_atom_site_fract_z
_atom_site_occupancy
Be1 0.0000 0.5000 0.0000 1
Be2 0.1685 0.3370 0.2500 1
Be3 0.3333 0.6667 0.1232 1
Zn1 0.0000 0.0000 0.0949 1
Zn2 0.3333 0.6667 0.6566 1
```

Summary:
The calculation puts the density of states at the Fermi level at 0.261 states/eV/f.u.

Entry 2
An optimized crystal structure of Be2Zn. Source: the Alexandria database, functional PBEsol.

Geometry as CIF:
```
data_Be2Zn
_space_group_name_H-M_alt 'I m m m'
_space_group_IT_number 71
_space_group_name_Hall '-I 2 2'
_cell_length_a 2.552
_cell_length_b 3.773
_cell_length_c 6.622
_cell_angle_alpha 90.00
_cell_angle_beta 90.00
_cell_angle_gamma 90.00
loop_
_atom_site_label
_atom_site_fract_x
_atom_site_fract_y
_atom_site_fract_z
_atom_site_occupancy
Be1 0.000 0.000 0.199 1
Zn1 0.000 0.500 0.000 1
```

Summary:
The calculation puts the density of states at the Fermi level at 0.770 states/eV/f.u.

On energetic grounds, entry 1 is preferred over the next structure by 0.178 eV/atom.

Entry 1
An optimized crystal structure of Bi2IBr. Source: the Alexandria database, functional PBEsol.

Geometry as CIF:
```
data_Bi2IBr
_space_group_name_H-M_alt 'F m -3 m'
_space_group_IT_number 225
_space_group_name_Hall '-F 4 2 3'
_cell_length_a 7.747
_cell_length_b 7.747
_cell_length_c 7.747
_cell_angle_alpha 90.00
_cell_angle_beta 90.00
_cell_angle_gamma 90.00
loop_
_atom_site_label
_atom_site_fract_x
_atom_site_fract_y
_atom_site_fract_z
_atom_site_occupancy
Bi1 0.250 0.250 0.250 1
I1 0.000 0.000 0.000 1
Br1 0.000 0.000 0.500 1
```

Summary:
The calculation puts the density of states at the Fermi level at 3.292 states/eV/f.u.

Entry 2
An optimized crystal structure of Bi2IBr. Source: the Alexandria database, functional PBEsol.

Geometry as CIF:
```
data_Bi2IBr
_space_group_name_H-M_alt 'C 1 2/m 1'
_space_group_IT_number 12
_space_group_name_Hall '-C 2y'
_cell_length_a 14.395
_cell_length_b 4.278
_cell_length_c 29.391
_cell_angle_alpha 90.00
_cell_angle_beta 98.31
_cell_angle_gamma 90.00
loop_
_atom_site_label
_atom_site_fract_x
_atom_site_fract_y
_atom_site_fract_z
_atom_site_occupancy
Bi1 0.013 0.000 0.169 1
Bi2 0.034 0.000 0.067 1
Bi3 0.111 0.500 0.399 1
Bi4 0.136 0.500 0.843 1
Bi5 0.143 0.500 0.740 1
Bi6 0.177 0.500 0.503 1
I1 0.027 0.000 0.574 1
I2 0.203 0.500 0.240 1
I3 0.247 0.000 0.371 1
Br1 0.006 0.000 0.713 1
Br2 0.100 0.500 0.960 1
Br3 0.169 0.500 0.095 1
```

On energetic grounds, entry 2 is preferred over the next structure by 0.468 eV/atom.